DFT (PBE+U) results for a relaxed Ti2CrO crystal.

a = 5.608 Å, b = 5.608 Å, c = 5.608 Å
α = 114.57°, β = 114.57°, γ = 99.69°
Fractional positions:
Ti: 0.005 0.625 0.880
Ti: 0.375 0.255 0.380
Ti: 0.745 0.125 0.120
Ti: 0.875 0.995 0.620
Cr: 0.250 0.750 0.500
Cr: 0.500 0.500 0.000
O: 0.000 0.000 0.000
O: 0.750 0.250 0.500

Output
Electronic total energy   -7.786 eV per atom
Calculated volume   133 Å³/cell
ρ   4.1 g/cm3
Space-group type   I-42d